The following is a PBE with a Hubbard U calculation of NaFeIr2O8 after structural relaxation, from Alexandria.

Summary:
Calculated total energy (eV/f.u.): -72.31
V (Å³/atom): 13.89

a = 5.5171 Å, b = 5.5171 Å, c = 6.3226 Å
α = 90.00°, β = 90.00°, γ = 120.00°
Space group P-3 (No. 147)
Inequivalent atoms, fractional coordinates:
Na: 0.0000 0.0000 0.0000
Fe: 0.0000 0.0000 0.5000
Ir: 0.3333 0.6667 0.4528
O: 0.0631 0.3639 0.6362
O: 0.3333 0.6667 0.1664